Entry 1:
{"formula": "K2Sm2MgMo4O16", "functional": "GGA+U", "state": "relaxed", "lattice_angstrom": [[7.184, 0.000, 0.000], [1.713, 7.610, 0.000], [3.425, 2.396, 7.307]], "species": ["K", "K", "Sm", "Sm", "Mg", "Mo", "Mo", "Mo", "Mo", "O", "O", "O", "O", "O", "O", "O", "O", "O", "O", "O", "O", "O", "O", "O", "O"], "fractional_positions": [[0.000, 0.000, 0.000], [0.118, 0.866, 0.499], [0.623, 0.588, 0.391], [0.701, 0.449, 0.837], [0.298, 0.314, 0.676], [0.135, 0.441, 0.349], [0.165, 0.536, 0.933], [0.609, 0.947, 0.886], [0.636, 0.094, 0.357], [0.036, 0.387, 0.863], [0.106, 0.768, 0.830], [0.195, 0.207, 0.461], [0.293, 0.544, 0.430], [0.336, 0.510, 0.079], [0.367, 0.059, 0.871], [0.431, 0.473, 0.739], [0.516, 0.879, 0.455], [0.571, 0.253, 0.492], [0.602, 0.823, 0.116], [0.629, 0.215, 0.133], [0.706, 0.777, 0.765], [0.773, 0.130, 0.794], [0.875, 0.525, 0.520], [0.896, 0.025, 0.314], [0.952, 0.496, 0.195]], "polymorph_energy_kj_per_mol_atoms": 0.0, "total_energy_ha_per_atom": -0.2566, "vol_a3_per_atom": 16.0, "spacegroup": "P1, No. 1"}

=====

Entry 2:
{"formula": "K2Sm2MgMo4O16", "functional": "GGA+U", "state": "relaxed", "lattice_angstrom": [[7.507, 0.000, 0.000], [-2.712, 7.225, 0.000], [-1.633, -2.395, 7.321]], "species": ["K", "K", "Sm", "Sm", "Mg", "Mo", "Mo", "Mo", "Mo", "O", "O", "O", "O", "O", "O", "O", "O", "O", "O", "O", "O", "O", "O", "O", "O"], "fractional_positions": [[0.000, 0.000, 0.000], [0.343, 0.801, 0.733], [0.575, 0.430, 0.009], [0.981, 0.442, 0.900], [0.849, 0.833, 0.365], [0.203, 0.223, 0.571], [0.372, 0.661, 0.253], [0.617, 0.509, 0.574], [0.924, 0.353, 0.337], [0.042, 0.366, 0.629], [0.082, 0.983, 0.604], [0.175, 0.566, 0.394], [0.178, 0.761, 0.140], [0.267, 0.409, 0.056], [0.380, 0.271, 0.418], [0.436, 0.500, 0.732], [0.445, 0.164, 0.725], [0.593, 0.731, 0.487], [0.605, 0.731, 0.151], [0.639, 0.293, 0.720], [0.720, 0.465, 0.348], [0.805, 0.278, 0.059], [0.864, 0.639, 0.745], [0.963, 0.703, 0.140], [0.967, 0.111, 0.331]], "polymorph_energy_kj_per_mol_atoms": 30.2, "total_energy_ha_per_atom": -0.2450, "vol_a3_per_atom": 15.9, "spacegroup": "P1, No. 1"}

=====

Entry 3:
{"formula": "K2Sm2MgMo4O16", "functional": "GGA+U", "state": "relaxed", "lattice_angstrom": [[5.538, -5.462, 0.000], [5.538, 5.462, 0.000], [-4.917, 0.000, 5.784]], "species": ["K", "K", "Sm", "Sm", "Mg", "Mo", "Mo", "Mo", "Mo", "O", "O", "O", "O", "O", "O", "O", "O", "O", "O", "O", "O", "O", "O", "O", "O"], "fractional_positions": [[0.000, 0.000, 0.000], [0.683, 0.317, 0.500], [0.025, 0.975, 0.500], [0.554, 0.446, 0.000], [0.416, 0.584, 0.500], [0.073, 0.512, 0.531], [0.091, 0.505, 0.031], [0.488, 0.927, 0.469], [0.495, 0.909, 0.969], [0.008, 0.247, 0.442], [0.046, 0.584, 0.817], [0.145, 0.427, 0.280], [0.164, 0.280, 0.879], [0.165, 0.785, 0.280], [0.215, 0.835, 0.720], [0.391, 0.568, 0.747], [0.408, 0.146, 0.618], [0.416, 0.954, 0.183], [0.432, 0.609, 0.253], [0.569, 0.170, 0.065], [0.573, 0.855, 0.720], [0.720, 0.836, 0.121], [0.753, 0.992, 0.558], [0.830, 0.431, 0.935], [0.854, 0.592, 0.382]], "polymorph_energy_kj_per_mol_atoms": 3.5, "total_energy_ha_per_atom": -0.2552, "vol_a3_per_atom": 14.0, "spacegroup": "C2, No. 5"}

=====

Entry 4:
{"formula": "K2Th3MgMo8O32", "functional": "GGA+U", "state": "relaxed", "lattice_angstrom": [[9.417, -9.183, 0.000], [9.417, 9.183, 0.000], [-0.098, 0.000, 9.548]], "species": ["K", "K", "K", "K", "Th", "Th", "Th", "Th", "Th", "Th", "Mg", "Mg", "Mo", "Mo", "Mo", "Mo", "Mo", "Mo", "Mo", "Mo", "Mo", "Mo", "Mo", "Mo", "Mo", "Mo", "Mo", "Mo", "O", "O", "O", "O", "O", "O", "O", "O", "O", "O", "O", "O", "O", "O", "O", "O", "O", "O", "O", "O", "O", "O", "O", "O", "O", "O", "O", "O", "O", "O", "O", "O", "O", "O", "O", "O", "O", "O", "O", "O", "O", "O", "O", "O", "O", "O", "O", "O", "O", "O", "O", "O", "O", "O", "O", "O", "O", "O", "O", "O", "O", "O", "O", "O"], "fractional_positions": [[0.122, 0.644, 0.934], [0.356, 0.878, 0.566], [0.644, 0.122, 0.434], [0.878, 0.356, 0.066], [0.132, 0.371, 0.659], [0.369, 0.631, 0.250], [0.371, 0.132, 0.159], [0.629, 0.868, 0.841], [0.631, 0.369, 0.750], [0.868, 0.629, 0.341], [0.090, 0.910, 0.750], [0.910, 0.090, 0.250], [0.088, 0.155, 0.963], [0.106, 0.468, 0.243], [0.150, 0.669, 0.532], [0.155, 0.088, 0.463], [0.331, 0.850, 0.968], [0.359, 0.405, 0.951], [0.405, 0.359, 0.451], [0.468, 0.106, 0.743], [0.532, 0.894, 0.257], [0.595, 0.641, 0.549], [0.641, 0.595, 0.049], [0.669, 0.150, 0.032], [0.845, 0.912, 0.537], [0.850, 0.331, 0.468], [0.894, 0.532, 0.757], [0.912, 0.845, 0.037], [0.016, 0.832, 0.916], [0.022, 0.482, 0.797], [0.043, 0.070, 0.362], [0.046, 0.649, 0.413], [0.070, 0.043, 0.862], [0.084, 0.260, 0.841], [0.116, 0.421, 0.420], [0.120, 0.768, 0.653], [0.123, 0.365, 0.130], [0.142, 0.209, 0.554], [0.168, 0.984, 0.584], [0.177, 0.557, 0.632], [0.201, 0.563, 0.204], [0.209, 0.142, 0.054], [0.232, 0.880, 0.847], [0.242, 0.412, 0.852], [0.260, 0.084, 0.341], [0.263, 0.702, 0.434], [0.298, 0.737, 0.066], [0.305, 0.357, 0.576], [0.351, 0.954, 0.087], [0.357, 0.305, 0.076], [0.365, 0.123, 0.630], [0.376, 0.525, 0.035], [0.379, 0.463, 0.333], [0.412, 0.242, 0.352], [0.421, 0.116, 0.920], [0.437, 0.799, 0.296], [0.443, 0.823, 0.868], [0.463, 0.379, 0.833], [0.475, 0.624, 0.465], [0.482, 0.022, 0.297], [0.518, 0.978, 0.703], [0.525, 0.376, 0.535], [0.537, 0.621, 0.167], [0.557, 0.177, 0.132], [0.563, 0.201, 0.704], [0.579, 0.884, 0.080], [0.588, 0.758, 0.648], [0.621, 0.537, 0.667], [0.624, 0.475, 0.965], [0.635, 0.877, 0.370], [0.643, 0.695, 0.924], [0.649, 0.046, 0.913], [0.695, 0.643, 0.424], [0.702, 0.263, 0.934], [0.737, 0.298, 0.566], [0.740, 0.916, 0.659], [0.758, 0.588, 0.148], [0.768, 0.120, 0.153], [0.791, 0.858, 0.946], [0.799, 0.437, 0.796], [0.823, 0.443, 0.368], [0.832, 0.016, 0.416], [0.858, 0.791, 0.446], [0.877, 0.635, 0.870], [0.880, 0.232, 0.347], [0.884, 0.579, 0.580], [0.916, 0.740, 0.159], [0.930, 0.957, 0.138], [0.954, 0.351, 0.587], [0.957, 0.930, 0.638], [0.978, 0.518, 0.203], [0.984, 0.168, 0.084]], "total_energy_ha_per_atom": -0.2728, "vol_a3_per_atom": 17.9, "spacegroup": "C2/c, No. 15"}

=====

Entry 5:
{"formula": "K2MgZrMo4O16", "functional": "GGA+U", "state": "relaxed", "lattice_angstrom": [[8.958, -2.942, 0.000], [8.958, 2.942, 0.000], [-5.766, 0.000, 8.410]], "species": ["K", "K", "Mg", "Zr", "Mo", "Mo", "Mo", "Mo", "O", "O", "O", "O", "O", "O", "O", "O", "O", "O", "O", "O", "O", "O", "O", "O"], "fractional_positions": [[0.243, 0.243, 0.229], [0.757, 0.757, 0.771], [0.000, 0.000, 0.000], [0.500, 0.500, 0.500], [0.126, 0.126, 0.455], [0.378, 0.378, 0.041], [0.622, 0.622, 0.959], [0.874, 0.874, 0.545], [0.087, 0.087, 0.252], [0.165, 0.668, 0.997], [0.168, 0.659, 0.497], [0.244, 0.244, 0.569], [0.259, 0.259, 0.920], [0.332, 0.835, 0.003], [0.341, 0.832, 0.503], [0.416, 0.416, 0.252], [0.584, 0.584, 0.748], [0.659, 0.168, 0.497], [0.668, 0.165, 0.997], [0.741, 0.741, 0.080], [0.756, 0.756, 0.431], [0.832, 0.341, 0.503], [0.835, 0.332, 0.003], [0.913, 0.913, 0.748]], "total_energy_ha_per_atom": -0.2586, "vol_a3_per_atom": 18.5, "spacegroup": "C2/m, No. 12"}